First-principles (PBE) data for a relaxed structure of GaHg5I, as listed in the Alexandria database.

Cell: 6.8515 6.8515 11.2312 Å, 65.59 65.59 63.48°
Fractional coordinates of all 14 atoms:
Hg 0.0018 0.9982 0.2500
Hg 0.0860 0.5250 0.6017
Hg 0.8803 0.4786 0.9149
I 0.5021 0.4979 0.2500
Hg 0.4750 0.9140 0.8983
Hg 0.9982 0.0018 0.7500
Hg 0.4786 0.8803 0.4149
Ga 0.0000 0.0000 0.0000
Hg 0.1197 0.5214 0.0851
Ga 0.0000 0.0000 0.5000
Hg 0.9140 0.4750 0.3983
Hg 0.5214 0.1197 0.5851
I 0.4979 0.5021 0.7500
Hg 0.5250 0.0860 0.1017

calculated volume: 412.3 Å³/cell
magnetic moment: 0.0 μB per cell
formation energy (no corrections): -0.3 eV/f.u.

First-principles (PBE) data for a relaxed structure of CdCuN, as listed in the Alexandria database.

Cell: 3.9698 3.9698 3.6860 Å, 90.00 90.00 120.00°
Fractional coordinates of all 3 atoms:
Cu 0.6667 0.3333 0.0000
Cd 0.0000 0.0000 0.5000
N 0.6667 0.3333 0.5000

calculated volume: 50.3 Å³/cell
magnetic moment: 0.0 μB per cell
formation energy (no corrections): 1.1 eV/f.u.

First-principles (PBE) data for a relaxed structure of Er4SbC2, as listed in the Alexandria database.

Cell: 3.7741 6.3911 12.6927 Å, 90.00 90.00 107.17°
Last column: magnetic moment on the atom in μB.
Fractional coordinates of all 14 atoms:
Er 0.7606 0.5212 0.3978  0.14
Er 0.2394 0.4788 0.8978  0.14
Er 0.2394 0.4788 0.6022  0.14
Sb 0.6103 0.2206 0.7500  0.00
Er 0.5000 0.0000 0.5000  0.06
C 0.1360 0.2720 0.4414  -0.01
C 0.8640 0.7280 0.5586  -0.01
C 0.1360 0.2720 0.0586  -0.01
Er 0.7606 0.5212 0.1022  0.14
C 0.8640 0.7280 0.9414  -0.01
Er 0.9176 0.8352 0.7500  0.28
Er 0.5000 0.0000 0.0000  0.06
Er 0.0824 0.1648 0.2500  0.28
Sb 0.3897 0.7794 0.2500  0.00

calculated volume: 292.5 Å³/cell
magnetic moment: 1.6 μB per cell
formation energy (no corrections): -3.9 eV/f.u.

First-principles (PBE) data for a relaxed structure of PrTlIn2I6, as listed in the Alexandria database.

Cell: 8.6471 8.6462 9.0951 Å, 61.58 61.57 59.96°
Fractional coordinates of all 10 atoms:
I 0.6976 0.1246 0.7631
I 0.5759 0.2150 0.2460
Pr 0.3242 0.3243 0.0273
Tl 0.8164 0.8166 0.5507
I 0.1247 0.4150 0.7632
I 0.4147 0.6975 0.7627
I 0.9630 0.5762 0.2462
In 0.5188 0.5185 0.4436
I 0.2150 0.9629 0.2459
In 0.0112 0.0112 0.9666

calculated volume: 491.8 Å³/cell
magnetic moment: 0.0 μB per cell
formation energy (no corrections): -8.8 eV/f.u.

First-principles (PBE) data for a relaxed structure of AlReO6, as listed in the Alexandria database.

Cell: 5.2224 5.2224 4.7182 Å, 96.41 96.41 126.43°
Last column: magnetic moment on the atom in μB.
Fractional coordinates of all 8 atoms:
O 0.7521 0.7521 0.2466  0.37
O 0.8801 0.6110 0.7442  0.28
O 0.2479 0.2479 0.7534  0.37
O 0.1199 0.3890 0.2558  0.28
Al 0.0000 0.0000 0.0000  -0.01
O 0.3890 0.1199 0.2558  0.28
Re 0.5000 0.5000 0.5000  -0.20
O 0.6110 0.8801 0.7442  0.28

calculated volume: 100.3 Å³/cell
magnetic moment: 2.0 μB per cell
formation energy (no corrections): -10.3 eV/f.u.

First-principles (PBE) data for a relaxed structure of ZnSb, as listed in the Alexandria database.

Cell: 7.5459 7.5459 7.5459 Å, 90.00 90.00 90.00°
Fractional coordinates of all 12 atoms:
Zn 0.5000 0.2500 0.0000
Sb 0.7500 0.5000 0.0000
Sb 0.0000 0.2500 0.5000
Zn 0.7500 0.0000 0.5000
Zn 0.0000 0.5000 0.7500
Zn 0.0000 0.5000 0.2500
Sb 0.2500 0.5000 0.0000
Zn 0.2500 0.0000 0.5000
Sb 0.5000 0.0000 0.2500
Sb 0.0000 0.7500 0.5000
Zn 0.5000 0.7500 0.0000
Sb 0.5000 0.0000 0.7500

calculated volume: 429.7 Å³/cell
magnetic moment: 0.0 μB per cell
formation energy (no corrections): 0.5 eV/f.u.

> formation energy (no corrections) of number 1 (GaHg5I)?

-0.3 eV/f.u.

What did the second record say?
First-principles (PBE) data for a relaxed structure of CdCuN, as listed in the Alexandria database.

Cell: 3.9698 3.9698 3.6860 Å, 90.00 90.00 120.00°
Fractional coordinates of all 3 atoms:
Cu 0.6667 0.3333 0.0000
Cd 0.0000 0.0000 0.5000
N 0.6667 0.3333 0.5000

calculated volume: 50.3 Å³/cell
magnetic moment: 0.0 μB per cell
formation energy (no corrections): 1.1 eV/f.u.